# 1
Here is an optimized crystal structure of MgSc2Br from the Alexandria database. Energies are from PBE.

Results
For the electronic total energy, the calculation gives -16.6 eV for the cell shown.

Lattice parameters (Å, degrees): 5.311 5.311 3.289 90.00 90.00 90.00
Space group P4/mmm (No. 123)
Symmetry-distinct sites (fractional):
Mg  0.000  0.000  0.000
Sc  0.000  0.500  0.500
Br  0.500  0.500  0.000

=====

# 2
Here is an optimized crystal structure of Na2Sn2Pb from the Alexandria database. Energies are from PBE.

Results
Its formation energy is -11 meV/atom.

Lattice parameters (Å, degrees): 9.330 9.330 3.268 90.00 90.00 90.00
Space group P4/mbm (No. 127)
Symmetry-distinct sites (fractional):
Na  0.117  0.383  0.000
Sn  0.181  0.681  0.500
Pb  0.000  0.000  0.000

=====

# 3
Here is an optimized crystal structure of Dy2MgC from the Alexandria database. Energies are from PBE.

Results
Its formation energy is 35 meV/atom.

Lattice parameters (Å, degrees): 3.5157 3.5157 8.7187 90.00 90.00 120.00
Space group P-6m2 (No. 187)
Symmetry-distinct sites (fractional):
Dy  0.0000  0.0000  0.1648
Mg  0.3333  0.6667  0.5000
C  0.6667  0.3333  0.0000

=====

# 4
Here is an optimized crystal structure of Pm3Pr2Hg2 from the Alexandria database. Energies are from PBE.

Results
Its formation energy is -205 meV/atom.

Lattice parameters (Å, degrees): 3.746 32.099 3.692 90.00 90.00 90.00
Space group Cmmm (No. 65)
Symmetry-distinct sites (fractional):
Pm  0.000  0.000  0.000
Pm  0.000  0.422  0.500
Pr  0.000  0.298  0.500
Hg  0.000  0.138  0.000